[1]
{
  "formula": "Rb2ReAuI6",
  "functional": "PBE-GGA",
  "state": "optimized geometry",
  "density_g_cm3": 5.3,
  "magnetic_moment_mub_per_cell": 3.4,
  "formation_energy_uncorrected_kj_per_mol_fu": -411,
  "spacegroup": "I4/mmm",
  "crystal_system": "tetragonal",
  "n_ef_per_ev_atom": 0.162,
  "lattice": [[8.557, 0.000, 0.000], [0.000, 8.557, 0.000], [4.279, 4.279, 5.660]],
  "species": ["I", "I", "I", "I", "I", "I", "Re", "Au", "Rb", "Rb"],
  "frac_coords": [[0.273, 0.273, 0.000], [0.273, 0.727, 0.000], [0.727, 0.273, 0.000], [0.243, 0.243, 0.514], [0.727, 0.727, 0.000], [0.757, 0.757, 0.486], [0.500, 0.500, 0.000], [0.000, 0.000, 0.000], [0.750, 0.250, 0.500], [0.250, 0.750, 0.500]]
}

***

[2]
{
  "formula": "Ca2TaRe",
  "functional": "PBE-GGA",
  "state": "optimized geometry",
  "density_g_cm3": 8.8,
  "magnetic_moment_mub_per_cell": 0.0,
  "e_form_mev_per_atom": 822,
  "de_polymorph_mev_per_atom": 582.8,
  "spacegroup": "Cmmm",
  "crystal_system": "orthorhombic",
  "n_ef_per_ev_atom": 0.832,
  "lattice": [[-1.066, -2.176, -1.511], [1.558, -1.290, 2.016], [-8.471, -0.275, 6.369]],
  "species": ["Ca", "Ca", "Re", "Ta"],
  "frac_coords": [[0.000, 0.000, 0.016], [0.000, 0.000, 0.484], [0.500, 0.500, 0.250], [0.500, 0.500, 0.750]]
}

***

Listing VASP energy for the structures above in their given order: -3.12 -6.25 eV per atom.